(1)
32
Lattice="-0.2427 -7.5795 -3.5616 3.9341 3.2486 -7.1814 11.6089 -2.7710 5.1061" Properties=species:S:1:pos:R:3 comment="Na2NpBr5 GGA-PBE relaxed" e_form_raw_ev_per_atom=-1.4085 pbc="T T T"
Br 4.7668 1.6038 -6.9914
Br 6.7929 -1.0403 0.5492
Br 14.4036 -4.5819 -2.2866
Na 9.5006 -5.8731 2.4556
Br 8.5075 -6.0617 -6.1861
Na 11.4004 -4.3043 -1.0124
Br 5.2437 -4.4163 -7.2298
Br 10.0567 -2.6856 1.5929
Np 1.0001 0.2253 -2.0517
Br 12.1527 -7.3688 -1.6010
Na 3.8999 -2.7977 -4.6245
Na 5.7998 -1.2289 -8.0925
Br 6.5442 -1.1944 -5.0599
Na 3.8062 -1.0504 1.5176
Br 10.5300 -1.0689 -5.0432
Br 4.2156 -2.4460 -1.4987
Br 6.3894 -4.6961 -3.5492
Br 0.8967 -2.5201 -3.3503
Np 6.7203 -3.7930 -0.7359
Br 3.1477 0.2668 -4.0359
Br 4.7703 -6.0330 -0.5937
Np 8.5801 -3.3089 -4.9011
Na 11.4942 -6.0515 -7.1546
Na 5.7060 0.5184 -1.9504
Np 14.3003 -7.3273 -3.5852
Na 9.5943 -7.6203 -3.6866
Br 8.9109 -2.4059 -2.0877
Br 12.4035 -0.8656 -1.7012
Br 8.7561 -5.9075 -0.5771
Br 2.8968 -6.2364 -3.9357
Br 11.0848 -4.6559 -4.1383
Br 10.5336 -8.7058 1.3545


(2)
7
Lattice="3.6021 0.0000 0.0000 0.0000 4.5006 0.0000 -1.8011 -2.2503 12.9787" Properties=species:S:1:pos:R:3 comment="Pm3Pb4 GGA-PBE relaxed" polymorph_energy_mev_per_atom=115.1 pbc="T T T"
Pb 0.0000 2.2503 7.4389
Pm 0.0000 2.2503 3.7105
Pb 1.8011 0.0000 5.5397
Pm 0.0000 2.2503 0.0000
Pb 1.8011 0.0000 1.8698
Pm 1.8011 0.0000 9.2682
Pb 0.0000 2.2503 11.1089


(3)
5
Lattice="4.8420 0.0000 0.0000 0.0000 4.8420 0.0000 0.0000 0.0000 4.8420" Properties=species:S:1:pos:R:3 comment="NbRe3Bi GGA-PBE relaxed" polymorph_energy_mev_per_atom=0.0 pbc="T T T"
Bi 2.4210 2.4210 2.4210
Nb 0.0000 0.0000 0.0000
Re 2.4210 0.0000 0.0000
Re 0.0000 2.4210 0.0000
Re 0.0000 0.0000 2.4210


(4)
4
Lattice="-4.0555 0.9929 -3.7247 0.9767 -0.7304 -5.4606 -2.3983 -4.2571 -2.7260" Properties=species:S:1:pos:R:3 comment="LiNd2Dy GGA-PBE relaxed" polymorph_energy_mev_per_atom=97.0 pbc="T T T"
Nd -1.3693 -0.9987 -2.9778
Dy -2.7386 -1.9973 -5.9557
Nd -4.1078 -2.9960 -8.9335
Li 0.0000 0.0000 0.0000


(5)
10
Lattice="-1.7159 -5.7858 4.2223 5.9391 -3.5763 -2.4870 1.5674 1.1060 2.1526" Properties=species:S:1:pos:R:3 comment="MnZn2Pt2 GGA-PBE relaxed" polymorph_energy_mev_per_atom=59.4 pbc="T T T"
Zn 4.7097 -6.2496 1.7129
Zn 4.3905 -2.6479 0.0947
Mn 2.1116 -4.6810 0.8677
Pt -0.2333 -4.2776 2.3678
Pt 1.8373 -2.1149 -0.2512
Zn 1.4000 -5.6081 3.7932
Pt 4.4565 -5.0845 -0.6325
Pt 2.3859 -7.2471 1.9865
Zn 1.0809 -2.0064 2.1750
Mn 0.0000 0.0000 0.0000


(6)
Entry from Alexandria via LeMat-Bulk: a relaxed MgCu2 crystal (GGA-PBE).

Structure (extended XYZ):
```
6
Lattice="1.4152 -6.9084 0.0000 1.4152 6.9084 0.0000 0.0000 0.0000 4.4446" Properties=species:S:1:pos:R:3 pbc="T T T"
Mg 1.4152 -3.9926 1.1111
Mg 1.4152 3.9926 3.3334
Cu 1.4152 -5.4753 3.3334
Cu 1.4152 0.6697 1.1111
Cu 1.4152 5.4753 1.1111
Cu 1.4152 -0.6697 3.3334
```


(7)
20
Lattice="16.2171 0.0000 0.8754 6.5204 5.4067 -3.0064 -6.5204 5.4067 3.0064" Properties=species:S:1:pos:R:3 comment="RbCaCl3 GGA-PBE relaxed" e_form_raw_ev_per_atom=-2.1867 pbc="T T T"
Cl 9.9443 6.1023 0.3951
Cl -1.2266 4.7136 1.3680
Ca 12.5459 5.9304 1.4903
Cl 6.2728 4.7111 0.4803
Cl 13.4023 6.0998 -1.2006
Cl 17.4437 6.0998 -0.4926
Cl 3.8822 2.0460 -0.1471
Ca 3.6712 4.8830 -0.6149
Ca 10.9578 4.8830 -1.9537
Cl 1.8358 10.1178 -0.0426
Cl 12.3349 8.7674 1.0225
Cl 14.3813 0.6956 0.9180
Rb 7.3145 7.2938 -1.2843
Rb 8.9026 3.5197 2.1598
Cl 2.8148 4.7136 2.0760
Rb 15.4230 3.5210 -0.8466
Rb 0.7941 7.2925 1.7220
Cl 4.2264 7.4527 0.5848
Cl 11.9907 3.3607 0.2906
Ca 5.2593 5.9304 2.8292


(8)
Entry from Alexandria via LeMat-Bulk: a relaxed NdTiAlRh2 crystal (GGA-PBE).

Structure (extended XYZ):
```
5
Lattice="-3.2289 -2.4882 0.0029 1.2873 -1.6664 3.4905 -2.0310 5.9762 1.2218" Properties=species:S:1:pos:R:3 pbc="T T T"
Nd 0.0000 0.0000 0.0000
Rh -2.2927 2.9778 2.2672
Rh -1.6800 -1.1563 2.4479
Al -3.1154 0.7053 1.4857
Ti -0.8573 1.1162 3.2295
```


(9)
8
Lattice="4.8437 0.0000 -0.0050 0.0000 2.8559 0.0000 -1.6556 0.0000 9.5033" Properties=species:S:1:pos:R:3 comment="TaAgPdPt GGA-PBE relaxed" polymorph_energy_mev_per_atom=91.9 pbc="T T T"
Pt 1.5137 1.4279 4.5402
Pd 0.5681 0.0000 2.2086
Pd -0.2597 1.4279 6.9603
Pt 0.6859 0.0000 9.2918
Ag 2.1976 0.0000 6.9325
Ag 3.0254 1.4279 2.1809
Ta 3.9674 0.0000 4.6199
Ta 3.1396 1.4279 9.3715


(10)
4
Lattice="4.8581 -0.0540 0.0000 1.5335 4.6100 0.0000 -3.1958 -2.2780 2.8639" Properties=species:S:1:pos:R:3 comment="Mg2CrNi GGA-PBE relaxed" polymorph_energy_mev_per_atom=39.4 pbc="T T T"
Mg 0.0000 0.0000 0.0000
Cr 2.4290 -0.0270 1.4319
Ni 3.1958 2.2780 0.0000
Mg 0.7667 2.3050 1.4319


(11)
5
Lattice="4.9413 -3.2708 3.0832 -2.8488 -5.9965 0.7394 0.5230 3.4192 -5.7146" Properties=species:S:1:pos:R:3 comment="Ba2Se2Cl GGA-PBE relaxed" polymorph_energy_mev_per_atom=241.6 e_form_raw_ev_per_atom=-1.6046 pbc="T T T"
Cl 0.0000 0.0000 0.0000
Ba 3.2553 -2.2426 -0.3600
Ba -0.6398 -3.6055 -1.5319
Se 0.7507 -3.3246 1.3713
Se 1.3418 -5.9427 2.4513


(12)
4
Lattice="-2.1520 -3.8690 2.2985 2.3205 -4.3279 -0.8761 1.5186 4.5128 1.4870" Properties=species:S:1:pos:R:3 comment="Si2NiHg GGA-PBE relaxed" e_form_raw_ev_per_atom=0.4721 pbc="T T T"
Si 0.0843 -4.0984 0.7112
Ni -0.2746 -1.7273 2.2484
Hg 1.9617 -1.9567 0.6610
Si 0.0000 0.0000 0.0000


(13)
8
Lattice="-3.1219 2.3746 -0.9316 -1.3625 -0.3076 3.7818 3.7612 5.6570 1.8152" Properties=species:S:1:pos:R:3 comment="BaPmCu2O4 GGA-PBE relaxed" e_form_raw_ev_per_atom=-1.9127 pbc="T T T"
O -0.7507 2.4060 -0.0747
Cu -1.4471 2.2294 1.8088
Cu 0.7239 5.4946 2.8566
O 1.3900 5.6256 0.9584
Pm 0.0000 0.0000 0.0000
O 0.1290 1.0648 2.2820
O 2.2697 4.2845 3.3151
Ba 1.8806 2.8285 0.9076


M_tot: 4.000; 0.051; 2.095; 0.000; 4.369; 0.000; 0.000; 0.000; 0.000; 3.949; 0.011; 0.000; 0.000 (μB per formula unit)
DOS at the Fermi energy: 7.2; 7.0; 5.5; 4.9; 2.3; 1.1; 0.0; 3.9; 2.4; 2.7; 3.2; 2.0; 1.6 (states/eV/f.u.)
Total energy: -0.1617; -0.1671; -0.2984; -0.1416; -0.1865; -0.1171; -0.1429; -0.2575; -0.2475; -0.1626; -0.1520; -0.1382; -0.2297 (Ha/atom)